# 1
! MnCrMo2 | the Alexandria database | GGA-PBE | optimized geometry; values from VASP
&SYSTEM
  ibrav = 0, nat = 4, ntyp = 3
/
ATOMIC_SPECIES
Cr 52.00 Cr.upf
Mn 54.94 Mn.upf
Mo 95.94 Mo.upf
CELL_PARAMETERS angstrom
3.089 0.000 0.000
0.000 4.304 0.000
0.000 0.000 4.253
ATOMIC_POSITIONS crystal
Cr 0.500 0.000 0.500
Mn 0.000 0.500 0.500
Mo 0.000 0.000 0.000
Mo 0.500 0.500 0.000
! Polymorph energy (0 for the lowest one)   26 meV per atom
! Calculated volume   14.13 Å³/atom
! ΔH_f (0 K)   11.4 kJ per mole of atoms
! ρ   8.78 g/cm³
! Calculated total energy   -40.0 eV per formula unit
! SG   Pmmm (47)
! Total moment   0.9 μB/cell


# 2
! MnCrMo | the Alexandria database | GGA-PBE | optimized geometry; values from VASP
&SYSTEM
  ibrav = 0, nat = 3, ntyp = 3
/
ATOMIC_SPECIES
Cr 52.00 Cr.upf
Mn 54.94 Mn.upf
Mo 95.94 Mo.upf
CELL_PARAMETERS angstrom
-4.546 -0.147 -2.909
-1.911 -2.720 -4.254
2.504 0.064 4.783
ATOMIC_POSITIONS crystal
Cr 0.977 0.977 0.000
Mn 0.354 0.354 0.000
Mo 0.669 0.669 0.000
! Polymorph energy (0 for the lowest one)   138 meV per atom
! Calculated volume   12.89 Å³/atom
! ΔH_f (0 K)   14.7 kJ per mole of atoms
! ρ   8.71 g/cm³
! Calculated total energy   -29.2 eV per formula unit
! SG   I4mm (107)
! Total moment   0.0 μB/cell


# 3
! MnCrMo2 | the Alexandria database | GGA-PBE | optimized geometry; values from VASP
&SYSTEM
  ibrav = 0, nat = 4, ntyp = 3
/
ATOMIC_SPECIES
Cr 52.00 Cr.upf
Mn 54.94 Mn.upf
Mo 95.94 Mo.upf
CELL_PARAMETERS angstrom
-0.209 -3.043 0.259
2.321 0.011 1.996
-3.887 0.652 4.517
ATOMIC_POSITIONS crystal
Cr 0.000 0.000 0.504
Mn 0.500 0.500 0.742
Mo 0.000 0.000 0.993
Mo 0.500 0.500 0.261
! Polymorph energy (0 for the lowest one)   27 meV per atom
! Calculated volume   14.04 Å³/atom
! ΔH_f (0 K)   11.5 kJ per mole of atoms
! ρ   8.84 g/cm³
! Calculated total energy   -40.0 eV per formula unit
! SG   P4mm (99)
! Total moment   1.0 μB/cell


# 4
! Mn2Cr2Mo | the Alexandria database | GGA-PBE | optimized geometry; values from VASP
&SYSTEM
  ibrav = 0, nat = 10, ntyp = 3
/
ATOMIC_SPECIES
Cr 52.00 Cr.upf
Mo 95.94 Mo.upf
Mn 54.94 Mn.upf
CELL_PARAMETERS angstrom
6.848 0.000 0.000
0.000 6.848 0.000
0.000 0.000 2.667
ATOMIC_POSITIONS crystal
Cr 0.157 0.657 0.500
Cr 0.657 0.843 0.500
Cr 0.843 0.343 0.500
Cr 0.343 0.157 0.500
Mo 0.000 0.000 0.000
Mo 0.500 0.500 0.000
Mn 0.359 0.859 0.000
Mn 0.859 0.641 0.000
Mn 0.641 0.141 0.000
Mn 0.141 0.359 0.000
! Calculated volume   12.51 Å³/atom
! ΔH_f (0 K)   21.1 kJ per mole of atoms
! ρ   8.23 g/cm³
! Calculated total energy   -47.3 eV per formula unit
! SG   P4/mbm (127)
! Total moment   1.7 μB/cell


# 5
! Mn2CrMo | the Alexandria database | GGA-PBE | optimized geometry; values from VASP
&SYSTEM
  ibrav = 0, nat = 4, ntyp = 3
/
ATOMIC_SPECIES
Cr 52.00 Cr.upf
Mn 54.94 Mn.upf
Mo 95.94 Mo.upf
CELL_PARAMETERS angstrom
3.000 0.000 0.000
0.000 4.170 0.000
0.000 0.000 4.080
ATOMIC_POSITIONS crystal
Cr 0.000 0.500 0.500
Mn 0.000 0.000 0.000
Mn 0.500 0.500 0.000
Mo 0.500 0.000 0.500
! Polymorph energy (0 for the lowest one)   7 meV per atom
! Calculated volume   12.76 Å³/atom
! ΔH_f (0 K)   9.3 kJ per mole of atoms
! ρ   8.39 g/cm³
! Calculated total energy   -38.4 eV per formula unit
! SG   Pmmm (47)
! Total moment   1.9 μB/cell


# 6
! MnCrMo2 | the Alexandria database | GGA-PBE | optimized geometry; values from VASP
&SYSTEM
  ibrav = 0, nat = 4, ntyp = 3
/
ATOMIC_SPECIES
Cr 52.00 Cr.upf
Mn 54.94 Mn.upf
Mo 95.94 Mo.upf
CELL_PARAMETERS angstrom
-0.261 4.663 -2.016
-4.253 -2.439 0.746
-0.953 1.341 2.067
ATOMIC_POSITIONS crystal
Cr 0.000 0.500 0.500
Mn 0.500 0.500 0.000
Mo 0.000 0.000 0.000
Mo 0.500 0.000 0.500
! Polymorph energy (0 for the lowest one)   31 meV per atom
! Calculated volume   13.86 Å³/atom
! ΔH_f (0 K)   11.8 kJ per mole of atoms
! ρ   8.95 g/cm³
! Calculated total energy   -40.0 eV per formula unit
! SG   C2/m (12)
! Total moment   1.5 μB/cell


# 7
! MnCr4Mo | the Alexandria database | GGA-PBE | optimized geometry; values from VASP
&SYSTEM
  ibrav = 0, nat = 6, ntyp = 3
/
ATOMIC_SPECIES
Mn 54.94 Mn.upf
Cr 52.00 Cr.upf
Mo 95.94 Mo.upf
CELL_PARAMETERS angstrom
-2.047 -3.563 -2.423
-2.712 -3.190 2.285
-4.723 -0.027 -0.665
ATOMIC_POSITIONS crystal
Mn 0.250 0.250 0.250
Cr 0.625 0.625 0.125
Cr 0.625 0.125 0.625
Cr 0.625 0.625 0.625
Cr 0.125 0.625 0.625
Mo 0.000 0.000 0.000
! Calculated volume   12.79 Å³/atom
! ΔH_f (0 K)   11.8 kJ per mole of atoms
! ρ   7.77 g/cm³
! Calculated total energy   -57.8 eV per formula unit
! SG   F-43m (216)
! Total moment   3.9 μB/cell


# 8
! MnCrMo2 | the Alexandria database | GGA-PBE | optimized geometry; values from VASP
&SYSTEM
  ibrav = 0, nat = 4, ntyp = 3
/
ATOMIC_SPECIES
Cr 52.00 Cr.upf
Mn 54.94 Mn.upf
Mo 95.94 Mo.upf
CELL_PARAMETERS angstrom
4.981 -0.039 0.001
2.233 4.452 -0.001
-3.157 -2.943 2.487
ATOMIC_POSITIONS crystal
Cr 0.502 0.502 0.000
Mn 0.254 0.754 0.500
Mo 0.999 0.999 0.000
Mo 0.745 0.245 0.500
! Polymorph energy (0 for the lowest one)   29 meV per atom
! Calculated volume   13.84 Å³/atom
! ΔH_f (0 K)   11.7 kJ per mole of atoms
! ρ   8.96 g/cm³
! Calculated total energy   -40.0 eV per formula unit
! SG   Imm2 (44)
! Total moment   1.5 μB/cell


# 9
! MnCrMo2 | the Alexandria database | GGA-PBE | optimized geometry; values from VASP
&SYSTEM
  ibrav = 0, nat = 8, ntyp = 3
/
ATOMIC_SPECIES
Cr 52.00 Cr.upf
Mo 95.94 Mo.upf
Mn 54.94 Mn.upf
CELL_PARAMETERS angstrom
6.746 0.000 0.000
0.000 6.746 0.000
3.373 3.373 2.633
ATOMIC_POSITIONS crystal
Cr 0.500 0.500 0.000
Cr 0.250 0.750 0.500
Mo 0.616 0.125 0.250
Mo 0.134 0.625 0.250
Mo 0.375 0.384 0.750
Mo 0.875 0.866 0.750
Mn 0.000 0.000 0.000
Mn 0.750 0.250 0.500
! Polymorph energy (0 for the lowest one)   651 meV per atom
! Calculated volume   14.98 Å³/atom
! ΔH_f (0 K)   71.7 kJ per mole of atoms
! ρ   8.28 g/cm³
! Calculated total energy   -37.5 eV per formula unit
! SG   I-42d (122)
! Total moment   5.9 μB/cell


# 10
! Mn2CrMo | the Alexandria database | GGA-PBE | optimized geometry; values from VASP
&SYSTEM
  ibrav = 0, nat = 4, ntyp = 3
/
ATOMIC_SPECIES
Cr 52.00 Cr.upf
Mn 54.94 Mn.upf
Mo 95.94 Mo.upf
CELL_PARAMETERS angstrom
-1.158 1.873 3.391
-2.468 -0.362 -0.643
-0.888 -4.371 2.111
ATOMIC_POSITIONS crystal
Cr 0.500 0.750 0.750
Mn 0.000 0.986 0.985
Mn 0.000 0.514 0.515
Mo 0.500 0.250 0.250
! Polymorph energy (0 for the lowest one)   33 meV per atom
! Calculated volume   12.61 Å³/atom
! ΔH_f (0 K)   11.8 kJ per mole of atoms
! ρ   8.49 g/cm³
! Calculated total energy   -38.3 eV per formula unit
! SG   P2/m (10)
! Total moment   2.3 μB/cell


# 11
! Mn3CrMo2 | the Alexandria database | GGA-PBE | optimized geometry; values from VASP
&SYSTEM
  ibrav = 0, nat = 6, ntyp = 3
/
ATOMIC_SPECIES
Mn 54.94 Mn.upf
Cr 52.00 Cr.upf
Mo 95.94 Mo.upf
CELL_PARAMETERS angstrom
-3.075 3.646 0.182
2.403 -0.898 -4.025
-1.571 -4.451 0.055
ATOMIC_POSITIONS crystal
Mn 0.500 0.500 0.500
Mn 0.000 0.000 0.500
Mn 0.500 0.000 0.500
Cr 0.000 0.000 0.000
Mo 0.747 0.374 0.121
Mo 0.253 0.626 0.879
! Calculated volume   12.60 Å³/atom
! ΔH_f (0 K)   -1.5 kJ per mole of atoms
! ρ   8.98 g/cm³
! Calculated total energy   -58.9 eV per formula unit
! SG   R-3m (166)
! Total moment   0.2 μB/cell


# 12
! Mn2CrMo | the Alexandria database | GGA-PBE | optimized geometry; values from VASP
&SYSTEM
  ibrav = 0, nat = 4, ntyp = 3
/
ATOMIC_SPECIES
Cr 52.00 Cr.upf
Mn 54.94 Mn.upf
Mo 95.94 Mo.upf
CELL_PARAMETERS angstrom
2.814 0.000 0.000
0.000 2.814 0.000
0.000 0.000 6.262
ATOMIC_POSITIONS crystal
Cr 0.500 0.500 0.750
Mn 0.000 0.000 0.967
Mn 0.000 0.000 0.533
Mo 0.500 0.500 0.250
! Polymorph energy (0 for the lowest one)   0 meV per atom
! Calculated volume   12.40 Å³/atom
! ΔH_f (0 K)   8.6 kJ per mole of atoms
! ρ   8.63 g/cm³
! Calculated total energy   -38.4 eV per formula unit
! SG   P4/mmm (123)
! Total moment   1.0 μB/cell